A PBEsol-optimized structure of Sm3Al11, computed with meta-GGA SCAN.

The value obtained for the formation energy is -397 meV/atom. Its total moment is 0.02 μB/f.u. Its electronic total energy is -448.323 eV for the cell shown. As for the density of states at the Fermi level: 3.7 states/eV/f.u. The volume is 19.50 Å³ per atom.

The structure belongs to space group Immm (No. 71); the cell edges are 4.319, 9.910 and 12.758 Å and the angles 90.00°, 90.00° and 90.00°. The inequivalent atoms are Sm at (0.000, 0.000, 0.000), Sm at (0.000, 0.000, 0.316), Al at (0.000, 0.210, 0.500), Al at (0.000, 0.276, 0.137), Al at (0.000, 0.370, 0.336) and Al at (0.000, 0.500, 0.000).

***

A PBEsol-optimized structure of SmAl5, computed with meta-GGA SCAN.

The value obtained for the formation energy is -277 meV/atom. Its total moment is 0.01 μB/f.u. Its electronic total energy is -339.461 eV for the cell shown. As for the density of states at the Fermi level: 2.2 states/eV/f.u. The volume is 18.67 Å³ per atom.

The structure belongs to space group P6_322 (No. 182); the cell edges are 5.4191, 5.4191 and 17.6219 Å and the angles 90.00°, 90.00° and 120.00°. The inequivalent atoms are Sm at (0.3333, 0.6667, 0.1500), Al at (0.0000, 0.0000, 0.1108), Al at (0.0000, 0.3651, 0.5000), Al at (0.1652, 0.3304, 0.7500) and Al at (0.3333, 0.6667, 0.6209).

***

A PBEsol-optimized structure of Sm6Ta4Al43, computed with meta-GGA SCAN.

The value obtained for the formation energy is -332 meV/atom. Its total moment is 0.00 μB/f.u. Its electronic total energy is -1767.781 eV for the cell shown. As for the density of states at the Fermi level: 16.9 states/eV/f.u. The volume is 17.86 Å³ per atom.

The structure belongs to space group P6_3/mcm (No. 193); the cell edges are 11.0662, 11.0662 and 17.8501 Å and the angles 90.00°, 90.00° and 120.00°. The inequivalent atoms are Sm at (0.0000, 0.4704, 0.0958), Ta at (0.0000, 0.0000, 0.0000), Ta at (0.0000, 0.2723, 0.2500), Al at (0.0000, 0.1483, 0.7500), Al at (0.0000, 0.1588, 0.1154), Al at (0.0000, 0.2543, 0.5296), Al at (0.1499, 0.5548, 0.2500), Al at (0.1586, 0.3948, 0.6634), Al at (0.2473, 0.4946, 0.0000) and Al at (0.3333, 0.6667, 0.1255).

***

A PBEsol-optimized structure of Sm6Al39V8, computed with meta-GGA SCAN.

The value obtained for the formation energy is -352 meV/atom. Its total moment is 11.48 μB/f.u. Its electronic total energy is -1455.023 eV for the cell shown. As for the density of states at the Fermi level: 21.5 states/eV/f.u. The volume is 17.16 Å³ per atom.

The structure belongs to space group P6_3/mcm (No. 193); the cell edges are 10.9654, 10.9654 and 17.4654 Å and the angles 90.00°, 90.00° and 120.00°. The inequivalent atoms are Sm at (0.0000, 0.4657, 0.0990), Al at (0.0000, 0.1524, 0.1176), Al at (0.0000, 0.1523, 0.7500), Al at (0.0000, 0.2489, 0.5285), Al at (0.1561, 0.5515, 0.2500), Al at (0.1630, 0.3960, 0.6621), Al at (0.2503, 0.5005, 0.0000), V at (0.0000, 0.0000, 0.0000), V at (0.0000, 0.2635, 0.2500) and V at (0.3333, 0.6667, 0.1298).

***

A PBEsol-optimized structure of Sm6Al43W4, computed with meta-GGA SCAN.

The value obtained for the formation energy is -295 meV/atom. Its total moment is 0.00 μB/f.u. Its electronic total energy is -1788.727 eV for the cell shown. As for the density of states at the Fermi level: 19.8 states/eV/f.u. The volume is 17.44 Å³ per atom.

The structure belongs to space group P6_3/mcm (No. 193); the cell edges are 10.9725, 10.9725 and 17.7343 Å and the angles 90.00°, 90.00° and 120.00°. The inequivalent atoms are Sm at (0.0000, 0.4690, 0.0952), Al at (0.0000, 0.1482, 0.7500), Al at (0.0000, 0.1599, 0.1145), Al at (0.0000, 0.2527, 0.5305), Al at (0.1473, 0.5510, 0.2500), Al at (0.1580, 0.3938, 0.6643), Al at (0.2470, 0.4939, 0.0000), Al at (0.3333, 0.6667, 0.1260), W at (0.0000, 0.0000, 0.0000) and W at (0.0000, 0.2692, 0.2500).

***

A PBEsol-optimized structure of SmYAl2, computed with meta-GGA SCAN.

The value obtained for the formation energy is -424 meV/atom. Its total moment is 0.00 μB/f.u. Its electronic total energy is -357.939 eV for the cell shown. As for the density of states at the Fermi level: 1.0 states/eV/f.u. The volume is 23.21 Å³ per atom.

The structure belongs to space group Fm-3m (No. 225); the cell edges are 7.188, 7.188 and 7.188 Å and the angles 90.00°, 90.00° and 90.00°. The inequivalent atoms are Sm at (0.000, 0.000, 0.000), Y at (0.000, 0.000, 0.500) and Al at (0.250, 0.250, 0.250).